[1]
A plane-wave DFT calculation with PBE-GGA was carried out for a relaxed structure of Pm2Er4Sc.

```
Pm2Er4Sc
1.0
6.6275 0.0000 0.0000
3.3114 8.1095 0.0000
3.3110 0.0174 8.1110
Pm Er Sc
4 8 2
Direct
0.0000 0.0000 0.0000
0.0138 0.5000 0.5003
0.1137 0.5273 0.0296
0.6708 0.4720 0.9710
0.2225 0.7597 0.2550
0.2374 0.2403 0.7448
0.3628 0.6643 0.6576
0.3660 0.1517 0.1618
0.6712 0.7515 0.2613
0.6784 0.8481 0.8397
0.6838 0.2485 0.7390
0.6846 0.3354 0.3430
0.1253 0.0225 0.5236
0.6715 0.9769 0.4774
```

Properties
density of states at the Fermi level = 1.32 states/eV per atom
energy relative to the lowest polymorph listed for this composition = 1.11 eV per formula unit
energy relative to the elements = 0.1887 eV per atom
E_tot = -4.68 eV per atom
symmetry = P1 (1)

---

[2]
A plane-wave DFT calculation with PBE-GGA was carried out for a relaxed structure of Pm2Er5Sc.

```
Pm2Er5Sc
1.0
7.0290 0.0000 0.0000
0.0000 14.0627 0.0000
0.0000 0.0000 4.9560
Pm Er Sc
4 10 2
Direct
0.2460 0.1235 0.0000
0.2540 0.6235 0.0000
0.7460 0.3765 0.0000
0.7540 0.8765 0.0000
0.0000 0.5000 0.5000
0.0034 0.7518 0.5000
0.2484 0.3759 0.0000
0.2516 0.8759 0.0000
0.4966 0.2518 0.5000
0.5000 0.0000 0.5000
0.5034 0.7482 0.5000
0.7484 0.1241 0.0000
0.7516 0.6241 0.0000
0.9966 0.2482 0.5000
0.0000 0.0000 0.5000
0.5000 0.5000 0.5000
```

Properties
density of states at the Fermi level = 1.47 states/eV per atom
energy relative to the lowest polymorph listed for this composition = 0.00 eV per formula unit
energy relative to the elements = 0.0344 eV per atom
E_tot = -4.80 eV per atom
symmetry = Pbam (55)

---

[3]
A plane-wave DFT calculation with PBE-GGA was carried out for a relaxed structure of PmErSc4.

```
PmErSc4
1.0
3.2728 -9.2491 0.0000
3.2728 9.2491 0.0000
0.0000 0.0000 5.3282
Pm Er Sc
2 2 8
Direct
0.1231 0.8769 0.7500
0.8769 0.1231 0.2500
0.3735 0.6265 0.2500
0.6265 0.3735 0.7500
0.0427 0.4598 0.7500
0.2127 0.2963 0.7500
0.2963 0.2127 0.2500
0.4598 0.0427 0.2500
0.5402 0.9573 0.7500
0.7037 0.7873 0.7500
0.7873 0.7037 0.2500
0.9573 0.5402 0.2500
```

Properties
density of states at the Fermi level = 1.76 states/eV per atom
energy relative to the lowest polymorph listed for this composition = 0.00 eV per formula unit
energy relative to the elements = 0.0646 eV per atom
E_tot = -5.71 eV per atom
symmetry = Cmcm (63)

---

[4]
A plane-wave DFT calculation with PBE-GGA was carried out for a relaxed structure of Pm11Er9Sc4.

```
Pm11Er9Sc4
1.0
8.3573 -12.6543 0.0000
8.3573 12.6543 0.0000
0.0000 0.0000 3.5779
Pm Er Sc
11 9 4
Direct
0.0000 0.0000 0.0000
0.0456 0.4063 0.0000
0.1597 0.8403 0.0000
0.2980 0.2980 0.0000
0.3704 0.6296 0.0000
0.4063 0.0456 0.0000
0.5937 0.9544 0.0000
0.6296 0.3704 0.0000
0.7020 0.7020 0.0000
0.8403 0.1597 0.0000
0.9544 0.5937 0.0000
0.0730 0.2171 0.5000
0.1668 0.6286 0.5000
0.2171 0.0730 0.5000
0.3714 0.8332 0.5000
0.5000 0.5000 0.5000
0.6286 0.1668 0.5000
0.7829 0.9270 0.5000
0.8332 0.3714 0.5000
0.9270 0.7829 0.5000
0.2412 0.4455 0.5000
0.4455 0.2412 0.5000
0.5545 0.7588 0.5000
0.7588 0.5545 0.5000
```

Properties
density of states at the Fermi level = 1.27 states/eV per atom
energy relative to the elements = 0.0479 eV per atom
E_tot = -4.90 eV per atom
symmetry = Cmmm (65)

---

[5]
A plane-wave DFT calculation with PBE-GGA was carried out for a relaxed structure of Pm4Er5Sc3.

```
Pm4Er5Sc3
1.0
7.9423 -2.8718 0.0000
7.9423 2.8718 0.0000
-4.2391 0.0000 8.1481
Pm Er Sc
4 5 3
Direct
0.0862 0.0862 0.4493
0.2177 0.2177 0.8835
0.7823 0.7823 0.1165
0.9138 0.9138 0.5507
0.0000 0.0000 0.0000
0.3284 0.3284 0.6261
0.4303 0.4303 0.2876
0.5697 0.5697 0.7124
0.6716 0.6716 0.3739
0.2188 0.2188 0.2414
0.5000 0.5000 0.0000
0.7812 0.7812 0.7586
```

Properties
density of states at the Fermi level = 1.60 states/eV per atom
energy relative to the elements = 0.2114 eV per atom
E_tot = -4.86 eV per atom
symmetry = C2/m (12)

---

[6]
A plane-wave DFT calculation with PBE-GGA was carried out for a relaxed structure of PmEr4Sc3.

```
PmEr4Sc3
1.0
10.8845 0.0000 0.0000
0.0000 7.0161 0.0000
0.0000 0.0000 6.0420
Pm Er Sc
2 8 6
Direct
0.0000 0.1190 0.0000
0.5000 0.8810 0.5000
0.0000 0.3706 0.4969
0.0000 0.6302 0.9919
0.2457 0.6302 0.3359
0.2543 0.3698 0.8359
0.5000 0.3698 0.4919
0.5000 0.6294 0.9969
0.7457 0.3698 0.8359
0.7543 0.6302 0.3359
0.0000 0.8773 0.5014
0.2490 0.1208 0.3303
0.2510 0.8792 0.8303
0.5000 0.1227 0.0014
0.7490 0.8792 0.8303
0.7510 0.1208 0.3303
```

Properties
density of states at the Fermi level = 1.71 states/eV per atom
energy relative to the lowest polymorph listed for this composition = 0.00 eV per formula unit
energy relative to the elements = 0.0245 eV per atom
E_tot = -5.23 eV per atom
symmetry = Pmn2_1 (31)

---

[7]
A plane-wave DFT calculation with PBE-GGA was carried out for a relaxed structure of PmEr3Sc3.

```
PmEr3Sc3
1.0
4.1505 2.3963 6.9579
-4.1505 2.3963 6.9579
0.0000 -4.7926 6.9579
Pm Er Sc
2 6 6
Direct
0.1505 0.1505 0.1505
0.8495 0.8495 0.8495
0.0693 0.5650 0.2251
0.2251 0.0693 0.5650
0.4350 0.7749 0.9307
0.5650 0.2251 0.0693
0.7749 0.9307 0.4350
0.9307 0.4350 0.7749
0.2232 0.6679 0.4367
0.3321 0.5633 0.7768
0.4367 0.2232 0.6679
0.5633 0.7768 0.3321
0.6679 0.4367 0.2232
0.7768 0.3321 0.5633
```

Properties
density of states at the Fermi level = 1.75 states/eV per atom
energy relative to the lowest polymorph listed for this composition = 0.00 eV per formula unit
energy relative to the elements = 0.1877 eV per atom
E_tot = -5.16 eV per atom
symmetry = R-3 (148)

---

[8]
A plane-wave DFT calculation with PBE-GGA was carried out for a relaxed structure of Pm2Er4Sc5.

```
Pm2Er4Sc5
1.0
11.5027 -1.6551 0.0000
11.5027 1.6551 0.0000
-0.7916 0.0000 8.3122
Pm Er Sc
2 4 5
Direct
0.0917 0.0917 0.2557
0.9083 0.9083 0.7443
0.0469 0.0469 0.8520
0.3199 0.3199 0.0245
0.6801 0.6801 0.9755
0.9531 0.9531 0.1480
0.1453 0.1453 0.6217
0.2344 0.2344 0.3344
0.5000 0.5000 0.5000
0.7656 0.7656 0.6656
0.8547 0.8547 0.3783
```

Properties
density of states at the Fermi level = 1.96 states/eV per atom
energy relative to the lowest polymorph listed for this composition = 0.42 eV per formula unit
energy relative to the elements = 0.1728 eV per atom
E_tot = -5.23 eV per atom
symmetry = C2/m (12)

---

[9]
A plane-wave DFT calculation with PBE-GGA was carried out for a relaxed structure of PmEr2Sc.

```
PmEr2Sc
1.0
1.7474 1.0089 11.2962
-1.7474 1.0089 11.2962
0.0000 -2.0177 11.2962
Pm Er Sc
1 2 1
Direct
0.0000 0.0000 0.0000
0.2461 0.2461 0.2461
0.7539 0.7539 0.7539
0.5000 0.5000 0.5000
```

Properties
density of states at the Fermi level = 1.51 states/eV per atom
energy relative to the lowest polymorph listed for this composition = 0.09 eV per formula unit
energy relative to the elements = 0.0469 eV per atom
E_tot = -5.01 eV per atom
symmetry = R-3m (166)

---

[10]
A plane-wave DFT calculation with PBE-GGA was carried out for a relaxed structure of Pm2Er3Sc.

```
Pm2Er3Sc
1.0
2.8191 -8.8343 0.0000
2.8191 8.8343 0.0000
0.0000 0.0000 3.7509
Pm Er Sc
2 3 1
Direct
0.1795 0.8205 0.0000
0.8205 0.1795 0.0000
0.0000 0.0000 0.5000
0.3556 0.6444 0.5000
0.6444 0.3556 0.5000
0.5000 0.5000 0.0000
```

Properties
density of states at the Fermi level = 1.67 states/eV per atom
energy relative to the lowest polymorph listed for this composition = 0.00 eV per formula unit
energy relative to the elements = 0.0893 eV per atom
E_tot = -4.83 eV per atom
symmetry = Cmmm (65)

---

[11]
A plane-wave DFT calculation with PBE-GGA was carried out for a relaxed structure of Pm8Er4Sc.

```
Pm8Er4Sc
1.0
3.6126 2.0857 9.4440
-3.6126 2.0857 9.4440
0.0000 -4.1714 9.4440
Pm Er Sc
8 4 1
Direct
0.2078 0.7478 0.7478
0.2139 0.2139 0.2139
0.2522 0.2522 0.7922
0.2522 0.7922 0.2522
0.7478 0.2078 0.7478
0.7478 0.7478 0.2078
0.7861 0.7861 0.7861
0.7922 0.2522 0.2522
0.0000 0.0000 0.0000
0.0000 0.5000 0.5000
0.5000 0.0000 0.5000
0.5000 0.5000 0.0000
0.5000 0.5000 0.5000
```

Properties
density of states at the Fermi level = 1.10 states/eV per atom
energy relative to the elements = 0.1793 eV per atom
E_tot = -4.64 eV per atom
symmetry = R-3m (166)

---

[12]
A plane-wave DFT calculation with PBE-GGA was carried out for a relaxed structure of Pm8ErSc2.

```
Pm8ErSc2
1.0
-2.7478 4.1969 7.8109
2.7478 -4.1969 7.8109
2.7478 4.1969 -7.8109
Pm Er Sc
8 1 2
Direct
0.1546 0.3571 0.7975
0.1603 0.1603 0.0000
0.3012 0.0000 0.3012
0.4404 0.6429 0.7975
0.5596 0.3571 0.2025
0.6988 0.0000 0.6988
0.8397 0.8397 0.0000
0.8454 0.6429 0.2025
0.0000 0.5000 0.5000
0.2985 0.7985 0.5000
0.7015 0.2015 0.5000
```

Properties
density of states at the Fermi level = 1.68 states/eV per atom
energy relative to the elements = 0.1244 eV per atom
E_tot = -4.90 eV per atom
symmetry = Immm (71)

---

[13]
A plane-wave DFT calculation with PBE-GGA was carried out for a relaxed structure of PmEr3Sc3.

```
PmEr3Sc3
1.0
5.2037 3.0044 2.2279
-5.2037 3.0044 2.2279
0.0000 -6.0087 2.2279
Pm Er Sc
1 3 3
Direct
0.0000 0.0000 0.0000
0.0637 0.4775 0.4775
0.4775 0.0637 0.4775
0.4775 0.4775 0.0637
0.5046 0.9743 0.9743
0.9743 0.5046 0.9743
0.9743 0.9743 0.5046
```

Properties
density of states at the Fermi level = 1.61 states/eV per atom
energy relative to the lowest polymorph listed for this composition = 0.65 eV per formula unit
energy relative to the elements = 0.2801 eV per atom
E_tot = -5.07 eV per atom
symmetry = R3m (160)

---

[14]
A plane-wave DFT calculation with PBE-GGA was carried out for a relaxed structure of PmErSc2.

```
PmErSc2
1.0
0.0000 3.8387 3.8387
3.8387 0.0000 3.8387
3.8387 3.8387 0.0000
Pm Er Sc
1 1 2
Direct
0.0000 0.0000 0.0000
0.5000 0.5000 0.5000
0.2500 0.2500 0.2500
0.7500 0.7500 0.7500
```

Properties
density of states at the Fermi level = 1.35 states/eV per atom
energy relative to the lowest polymorph listed for this composition = 0.12 eV per formula unit
energy relative to the elements = 0.0825 eV per atom
E_tot = -5.41 eV per atom
symmetry = Fm-3m (225)

---

[15]
A plane-wave DFT calculation with PBE-GGA was carried out for a relaxed structure of Pm5Er2Sc.

```
Pm5Er2Sc
1.0
-4.5645 4.5645 6.2115
4.5645 -4.5645 6.2115
4.5645 4.5645 -6.2115
Pm Er Sc
10 4 2
Direct
0.0000 0.0000 0.0000
0.0136 0.5136 0.1964
0.1828 0.9864 0.5000
0.3172 0.8172 0.8036
0.4864 0.6828 0.5000
0.5000 0.5000 0.0000
0.5136 0.3172 0.5000
0.6828 0.1828 0.1964
0.8172 0.0136 0.5000
0.9864 0.4864 0.8036
0.1436 0.3564 0.5000
0.3564 0.8564 0.2129
0.6436 0.1436 0.7871
0.8564 0.6436 0.5000
0.2500 0.2500 0.0000
0.7500 0.7500 0.0000
```

Properties
density of states at the Fermi level = 1.22 states/eV per atom
energy relative to the lowest polymorph listed for this composition = 0.00 eV per formula unit
energy relative to the elements = 0.1176 eV per atom
E_tot = -4.78 eV per atom
symmetry = I4/mcm (140)

---

[16]
A plane-wave DFT calculation with PBE-GGA was carried out for a relaxed structure of PmErSc2.

```
PmErSc2
1.0
6.6591 0.0000 0.0000
0.0000 8.0630 0.0000
-0.0023 0.0000 8.6154
Pm Er Sc
4 4 8
Direct
0.1272 0.0344 0.3185
0.1272 0.4656 0.8185
0.8728 0.5344 0.1815
0.8728 0.9656 0.6815
0.3756 0.5202 0.1807
0.3756 0.9798 0.6807
0.6244 0.0202 0.3193
0.6244 0.4798 0.8193
0.1301 0.6671 0.4905
0.1301 0.8329 0.9905
0.3812 0.1667 0.0071
0.3812 0.3333 0.5071
0.6188 0.6667 0.4929
0.6188 0.8333 0.9929
0.8699 0.1671 0.0095
0.8699 0.3329 0.5095
```

Properties
density of states at the Fermi level = 1.56 states/eV per atom
energy relative to the lowest polymorph listed for this composition = 0.49 eV per formula unit
energy relative to the elements = 0.1745 eV per atom
E_tot = -5.32 eV per atom
symmetry = P2_1/c (14)

---

[17]
A plane-wave DFT calculation with PBE-GGA was carried out for a relaxed structure of Pm5Er2Sc4.

```
Pm5Er2Sc4
1.0
-1.7182 4.3790 11.4059
1.7182 -4.3790 11.4059
1.7182 4.3790 -11.4059
Pm Er Sc
5 2 4
Direct
0.0000 0.0000 0.0000
0.0609 0.3582 0.7027
0.3445 0.6418 0.7027
0.6555 0.3582 0.2973
0.9391 0.6418 0.2973
0.2705 0.7705 0.5000
0.7295 0.2295 0.5000
0.3244 0.5000 0.8244
0.4065 0.9065 0.5000
0.5935 0.0935 0.5000
0.6756 0.5000 0.1756
```

Properties
density of states at the Fermi level = 1.76 states/eV per atom
energy relative to the elements = 0.1599 eV per atom
E_tot = -5.13 eV per atom
symmetry = Immm (71)

---

[18]
A plane-wave DFT calculation with PBE-GGA was carried out for a relaxed structure of Pm4ErSc4.

```
Pm4ErSc4
1.0
-5.1925 5.1925 2.4445
5.1925 -5.1925 2.4445
5.1925 5.1925 -2.4445
Pm Er Sc
4 1 4
Direct
0.0000 0.3266 0.3266
0.0000 0.6734 0.6734
0.3266 0.0000 0.3266
0.6734 0.0000 0.6734
0.0000 0.0000 0.0000
0.3348 0.3348 0.6695
0.3348 0.6652 0.0000
0.6652 0.3348 0.0000
0.6652 0.6652 0.3305
```

Properties
density of states at the Fermi level = 1.62 states/eV per atom
energy relative to the elements = 0.0604 eV per atom
E_tot = -5.37 eV per atom
symmetry = I4/mmm (139)

---

[19]
A plane-wave DFT calculation with PBE-GGA was carried out for a relaxed structure of Pm4ErSc3.

```
Pm4ErSc3
1.0
13.5764 -1.7323 0.0000
13.5764 1.7323 0.0000
-0.3674 0.0000 5.6413
Pm Er Sc
4 1 3
Direct
0.0998 0.0998 0.0277
0.1897 0.1897 0.5597
0.8103 0.8103 0.4403
0.9002 0.9002 0.9723
0.0000 0.0000 0.5000
0.2944 0.2944 0.9310
0.5000 0.5000 0.0000
0.7056 0.7056 0.0690
```

Properties
density of states at the Fermi level = 1.83 states/eV per atom
energy relative to the lowest polymorph listed for this composition = 2.02 eV per formula unit
energy relative to the elements = 0.3009 eV per atom
E_tot = -5.02 eV per atom
symmetry = C2/m (12)

---

[20]
A plane-wave DFT calculation with PBE-GGA was carried out for a relaxed structure of Pm3Er3Sc.

```
Pm3Er3Sc
1.0
3.0877 1.7827 13.8290
-3.0877 1.7827 13.8290
0.0000 -3.5653 13.8290
Pm Er Sc
6 6 2
Direct
0.0634 0.7305 0.3967
0.2695 0.6033 0.9366
0.3967 0.0634 0.7305
0.6033 0.9366 0.2695
0.7305 0.3967 0.0634
0.9366 0.2695 0.6033
0.1328 0.4654 0.8003
0.1997 0.8672 0.5346
0.4654 0.8003 0.1328
0.5346 0.1997 0.8672
0.8003 0.1328 0.4654
0.8672 0.5346 0.1997
0.3333 0.3333 0.3333
0.6667 0.6667 0.6667
```

Properties
density of states at the Fermi level = 1.42 states/eV per atom
energy relative to the lowest polymorph listed for this composition = 0.78 eV per formula unit
energy relative to the elements = 0.1457 eV per atom
E_tot = -4.75 eV per atom
symmetry = R-3 (148)

---

Ordered density results: 7.6, 7.9, 5.1, 7.2, 6.9, 6.8, 6.3, 6.2, 7.3, 7.4, 7.3, 6.5, 6.2, 5.9, 7.1, 5.8, 6.0, 5.8, 5.5, 7.1; unit g/cm3.
Ordered magnetization results: 0.00, 0.00, 0.00, 0.00, 0.06, 0.00, 0.00, 0.07, 0.00, 0.00, 0.00, 0.00, 0.00, 0.00, 0.06, 0.00, 0.00, 0.00, 0.00, 0.00; unit μB/atom.
Ordered calculated volume results: 31.1, 30.6, 26.9, 31.5, 31.0, 28.8, 29.7, 28.8, 29.9, 31.1, 32.8, 32.8, 29.9, 28.3, 32.4, 28.9, 31.2, 29.3, 33.2, 32.6; unit Å³ per atom.